1.
The following is a DFT calculation (PBE-GGA) of crystalline SnAsRhPb2 at its relaxed geometry. Values from VASP.

Computed properties:
The value obtained for the density of states at the Fermi level is 0.81 states/eV/f.u. Its space-group type is P4/mmm. The formation enthalpy at 0 K is 0.127 eV/atom.

The structure in Quantum ESPRESSO input format:
```
&SYSTEM
  ibrav = 0, nat = 5, ntyp = 4
/
ATOMIC_SPECIES
Pb 207.20 Pb.upf
As 74.92 As.upf
Rh 102.91 Rh.upf
Sn 118.71 Sn.upf
CELL_PARAMETERS angstrom
-3.420 1.906 -3.505
2.734 -2.040 -3.777
-2.819 -4.421 0.347
ATOMIC_POSITIONS angstrom
Pb -1.410 -2.211 0.173
Pb -1.710 0.953 -1.752
As -1.753 -2.277 -3.468
Rh 0.000 0.000 0.000
Sn 1.367 -1.020 -1.889
```



2.
The following is a DFT calculation (PBE-GGA) of crystalline CaHgSbI2 at its relaxed geometry. Values from VASP.

Computed properties:
The value obtained for the density of states at the Fermi level is 4.26 states/eV/f.u. Its space-group type is P4/mmm. The value obtained for the uncorrected formation energy is -0.44 eV/f.u. The calculation puts the energy relative to the lowest polymorph listed for this composition at 0.202 eV per atom.

The structure in Quantum ESPRESSO input format:
```
&SYSTEM
  ibrav = 0, nat = 5, ntyp = 4
/
ATOMIC_SPECIES
I 126.90 I.upf
Sb 121.76 Sb.upf
Ca 40.08 Ca.upf
Hg 200.59 Hg.upf
CELL_PARAMETERS angstrom
-6.006 0.473 -1.338
-1.312 -1.750 5.268
0.026 5.854 1.952
ATOMIC_POSITIONS angstrom
I 0.013 2.927 0.976
I -3.003 0.237 -0.669
Sb 0.000 0.000 0.000
Ca -3.646 2.289 2.941
Hg -0.656 -0.875 2.634
```



3.
The following is a DFT calculation (PBE-GGA) of crystalline Ta4MoSe at its relaxed geometry. Values from VASP.

Computed properties:
The value obtained for the density of states at the Fermi level is 8.61 states/eV/f.u. Its space-group type is F-43m. The value obtained for the uncorrected formation energy is 3.66 eV/f.u.

The structure in Quantum ESPRESSO input format:
```
&SYSTEM
  ibrav = 0, nat = 6, ntyp = 3
/
ATOMIC_SPECIES
Ta 180.95 Ta.upf
Mo 95.94 Mo.upf
Se 78.96 Se.upf
CELL_PARAMETERS angstrom
3.441 -2.759 -3.149
2.008 -4.742 1.686
-1.591 -4.610 -2.363
ATOMIC_POSITIONS angstrom
Ta 3.162 -5.921 -3.004
Ta 0.657 -6.843 -2.613
Ta 2.448 -6.909 -0.598
Ta 1.449 -4.549 -1.437
Mo 2.894 -9.083 -2.869
Se 0.000 0.000 0.000
```



4.
The following is a DFT calculation (PBE-GGA) of crystalline CaSm2In at its relaxed geometry. Values from VASP.

Computed properties:
The value obtained for the density of states at the Fermi level is 5.40 states/eV/f.u. Its space-group type is P4/mmm. The formation enthalpy at 0 K is -0.171 eV/atom. The calculation puts the energy relative to the lowest polymorph listed for this composition at 0.056 eV per atom.

The structure in Quantum ESPRESSO input format:
```
&SYSTEM
  ibrav = 0, nat = 4, ntyp = 3
/
ATOMIC_SPECIES
Ca 40.08 Ca.upf
Sm 150.36 Sm.upf
In 114.82 In.upf
CELL_PARAMETERS angstrom
-0.385 -0.806 -3.553
2.059 -2.996 0.457
-8.133 -5.273 2.076
ATOMIC_POSITIONS angstrom
Ca -3.229 -4.537 -0.510
Sm -6.450 -4.182 1.647
Sm -1.683 -1.091 0.430
In 0.837 -1.901 -1.548
```



5.
The following is a DFT calculation (PBE-GGA) of crystalline Ca2NiPb at its relaxed geometry. Values from VASP.

Computed properties:
The value obtained for the density of states at the Fermi level is 2.96 states/eV/f.u. Its space-group type is P4mm. The formation enthalpy at 0 K is -0.075 eV/atom.

The structure in Quantum ESPRESSO input format:
```
&SYSTEM
  ibrav = 0, nat = 4, ntyp = 3
/
ATOMIC_SPECIES
Pb 207.20 Pb.upf
Ni 58.69 Ni.upf
Ca 40.08 Ca.upf
CELL_PARAMETERS angstrom
3.587 0.033 0.000
-0.029 3.587 0.000
0.000 0.000 8.457
ATOMIC_POSITIONS angstrom
Pb 1.779 1.810 5.806
Ni 0.000 0.000 4.629
Ca 0.000 0.000 8.028
Ca 1.779 1.810 2.679
```



6.
The following is a DFT calculation (PBE-GGA) of crystalline SmReP2 at its relaxed geometry. Values from VASP.

Computed properties:
The value obtained for the density of states at the Fermi level is 3.05 states/eV/f.u. Its space-group type is R-3m. The formation enthalpy at 0 K is 0.419 eV/atom. The calculation puts the energy relative to the lowest polymorph listed for this composition at 0.994 eV per atom.

The structure in Quantum ESPRESSO input format:
```
&SYSTEM
  ibrav = 0, nat = 4, ntyp = 3
/
ATOMIC_SPECIES
Re 186.21 Re.upf
Sm 150.36 Sm.upf
P 30.97 P.upf
CELL_PARAMETERS angstrom
2.995 0.000 0.000
1.497 2.593 0.000
1.497 0.864 9.486
ATOMIC_POSITIONS angstrom
Re 0.000 0.000 0.000
Sm 2.995 1.729 4.743
P 1.497 0.864 7.142
P 4.492 2.593 2.344
```



What did the second record say?
The following is a DFT calculation (PBE-GGA) of crystalline CaHgSbI2 at its relaxed geometry. Values from VASP.

Computed properties:
The value obtained for the density of states at the Fermi level is 4.26 states/eV/f.u. Its space-group type is P4/mmm. The value obtained for the uncorrected formation energy is -0.44 eV/f.u. The calculation puts the energy relative to the lowest polymorph listed for this composition at 0.202 eV per atom.

The structure in Quantum ESPRESSO input format:
```
&SYSTEM
  ibrav = 0, nat = 5, ntyp = 4
/
ATOMIC_SPECIES
I 126.90 I.upf
Sb 121.76 Sb.upf
Ca 40.08 Ca.upf
Hg 200.59 Hg.upf
CELL_PARAMETERS angstrom
-6.006 0.473 -1.338
-1.312 -1.750 5.268
0.026 5.854 1.952
ATOMIC_POSITIONS angstrom
I 0.013 2.927 0.976
I -3.003 0.237 -0.669
Sb 0.000 0.000 0.000
Ca -3.646 2.289 2.941
Hg -0.656 -0.875 2.634
```